BeTeP2 (PBE, optimized geometry); DOS at the Fermi energy = 1.6 states/eV/f.u.; formation energy from raw total energies = 3.41 eV/f.u.; space-group type = P4/mmm (123); calculated total energy = -3.569 eV per atom; energy above the lowest structure with this stoichiometry = 700 meV/atom
1.0
-4.434 -1.166 0.073
0.959 -3.471 2.839
-0.473 1.960 2.555
P Te Be
2 1 1
Cartesian
0.000 0.000 0.000 P
-1.738 -2.318 1.456 P
-2.454 0.397 1.314 Te
0.243 -0.756 2.697 Be